No. 1
A plane-wave DFT calculation with SCAN was carried out for a crystal of Rb3BO relaxed with PBEsol.

Cell lengths 5.836, 5.836, 5.836 Å; angles 90.00, 90.00, 90.00 degrees
Sites, in units of the cell vectors:
Rb 0.000 0.000 0.500
Rb 0.000 0.500 0.000
Rb 0.500 0.000 0.000
B 0.000 0.000 0.000
O 0.500 0.500 0.500

Summary:
Crystal system: cubic
Energy: -72.06 eV per formula unit
Size of the total moment: 2.88 μB per formula unit
Uncorrected formation energy: 17.60 kcal/mol of atoms



No. 2
A plane-wave DFT calculation with SCAN was carried out for a crystal of Nb3PBr relaxed with PBEsol.

Cell lengths 4.659, 4.659, 4.659 Å; angles 90.00, 90.00, 90.00 degrees
Sites, in units of the cell vectors:
Nb 0.000 0.000 0.500
Nb 0.000 0.500 0.000
Nb 0.500 0.000 0.000
P 0.000 0.000 0.000
Br 0.500 0.500 0.500

Summary:
Crystal system: cubic
Energy: -126.29 eV per formula unit
Size of the total moment: 0.00 μB per formula unit
Uncorrected formation energy: 13.65 kcal/mol of atoms



No. 3
A plane-wave DFT calculation with SCAN was carried out for a crystal of CeAl2Cu3 relaxed with PBEsol.

Cell lengths 5.074, 5.074, 4.129 Å; angles 90.00, 90.00, 117.58 degrees
Sites, in units of the cell vectors:
Ce 0.000 0.000 0.000
Al 0.000 0.500 0.500
Al 0.500 0.000 0.500
Cu 0.340 0.660 0.000
Cu 0.500 0.500 0.500
Cu 0.660 0.340 0.000

Summary:
Crystal system: orthorhombic
Energy relative to the elements: -0.43 eV/atom
Energy: -108.25 eV per formula unit
Size of the total moment: 0.59 μB per formula unit



No. 4
A plane-wave DFT calculation with SCAN was carried out for a crystal of Eu2Si5Pt3 relaxed with PBEsol.

Cell lengths 8.189, 8.189, 8.189 Å; angles 104.92, 90.49, 137.23 degrees
Sites, in units of the cell vectors:
Eu 0.130 0.232 0.362
Eu 0.370 0.732 0.102
Eu 0.630 0.268 0.898
Eu 0.870 0.768 0.638
Si 0.022 0.750 0.272
Si 0.110 0.651 0.762
Si 0.250 0.250 0.000
Si 0.390 0.151 0.541
Si 0.478 0.750 0.728
Si 0.522 0.250 0.272
Si 0.610 0.849 0.459
Si 0.750 0.750 0.000
Si 0.890 0.349 0.238
Si 0.978 0.250 0.728
Pt 0.136 0.888 0.024
Pt 0.250 0.750 0.500
Pt 0.364 0.388 0.752
Pt 0.636 0.612 0.248
Pt 0.750 0.250 0.500
Pt 0.864 0.112 0.976

Summary:
Crystal system: orthorhombic
Energy: -378.35 eV per formula unit
Size of the total moment: 13.63 μB per formula unit
Uncorrected formation energy: -23.68 kcal/mol of atoms



No. 5
A plane-wave DFT calculation with SCAN was carried out for a crystal of Tl3SnSe4 relaxed with PBEsol.

Cell lengths 7.889, 8.285, 14.547 Å; angles 90.00, 96.51, 90.00 degrees
Sites, in units of the cell vectors:
Tl 0.005 0.044 0.390
Tl 0.005 0.456 0.890
Tl 0.238 0.607 0.648
Tl 0.238 0.893 0.148
Tl 0.383 0.167 0.615
Tl 0.383 0.333 0.115
Tl 0.617 0.667 0.885
Tl 0.617 0.833 0.385
Tl 0.762 0.107 0.852
Tl 0.762 0.393 0.352
Tl 0.995 0.544 0.110
Tl 0.995 0.956 0.610
Sn 0.200 0.608 0.378
Sn 0.200 0.892 0.878
Sn 0.800 0.108 0.122
Sn 0.800 0.392 0.622
Se 0.067 0.218 0.221
Se 0.067 0.282 0.721
Se 0.162 0.139 0.977
Se 0.162 0.361 0.477
Se 0.311 0.653 0.982
Se 0.311 0.847 0.482
Se 0.430 0.585 0.268
Se 0.430 0.915 0.768
Se 0.570 0.085 0.232
Se 0.570 0.415 0.732
Se 0.689 0.153 0.518
Se 0.689 0.347 0.018
Se 0.838 0.639 0.523
Se 0.838 0.861 0.023
Se 0.933 0.718 0.279
Se 0.933 0.782 0.779

Summary:
Crystal system: monoclinic
Energy: -335.84 eV per formula unit
Size of the total moment: 0.00 μB per formula unit
Uncorrected formation energy: -7.30 kcal/mol of atoms



No. 6
A plane-wave DFT calculation with SCAN was carried out for a crystal of NiSn3Cl relaxed with PBEsol.

Cell lengths 4.933, 4.933, 4.933 Å; angles 90.00, 90.00, 90.00 degrees
Sites, in units of the cell vectors:
Ni 0.000 0.000 0.000
Sn 0.000 0.000 0.500
Sn 0.000 0.500 0.000
Sn 0.500 0.000 0.000
Cl 0.500 0.500 0.500

Summary:
Crystal system: cubic
Energy: -132.23 eV per formula unit
Size of the total moment: 0.00 μB per formula unit
Uncorrected formation energy: -1.47 kcal/mol of atoms